(1)
## TaPSe2Br (PBE)

Data for a relaxed structure of TaPSe2Br.

Properties
Uncorrected formation energy in eV/atom: 0.36
Crystal system: tetragonal
Energy relative to the lowest polymorph listed for this composition in meV/atom: 0
Density of states at the Fermi level in states/eV per atom: 0.47
Space-group type: P4/mmm, No. 123
Raw total energy in eV/cell: -24.10

POSCAR file:
```
TaPSe2Br
1.0
5.0352 0.0000 0.0000
0.0000 5.0352 0.0000
0.0000 0.0000 5.2398
Ta P Se Br
1 1 2 1
Direct
0.0000 0.0000 0.0000 Ta
0.5000 0.5000 0.5000 P
0.0000 0.5000 0.0000 Se
0.5000 0.0000 0.0000 Se
0.0000 0.0000 0.5000 Br
```



(2)
## Tb6P2Se3Br (PBE)

Data for a relaxed structure of Tb6P2Se3Br.

Properties
Uncorrected formation energy in eV/atom: -1.65
Crystal system: monoclinic
Density of states at the Fermi level in states/eV per atom: 0.37
Space-group type: C2/m, No. 12
Raw total energy in eV/cell: -70.56

POSCAR file:
```
Tb6P2Se3Br
1.0
8.8854 -2.0360 0.0000
8.8854 2.0360 0.0000
-1.7937 0.0000 8.0313
Tb P Se Br
6 2 3 1
Direct
0.0110 0.0110 0.2773 Tb
0.3222 0.3222 0.8860 Tb
0.3283 0.3283 0.4277 Tb
0.6717 0.6717 0.5723 Tb
0.6778 0.6778 0.1140 Tb
0.9890 0.9890 0.7227 Tb
0.1682 0.1682 0.3358 P
0.8318 0.8318 0.6642 P
0.1587 0.1587 0.8382 Se
0.5000 0.5000 0.5000 Se
0.8413 0.8413 0.1618 Se
0.5000 0.5000 0.0000 Br
```



(3)
## Tb4PSe2Br (PBE)

Data for a relaxed structure of Tb4PSe2Br.

Properties
Uncorrected formation energy in eV/atom: -1.58
Crystal system: monoclinic
Density of states at the Fermi level in states/eV per atom: 0.42
Space-group type: P2/m, No. 10
Raw total energy in eV/cell: -45.18

POSCAR file:
```
Tb4PSe2Br
1.0
7.0484 0.0000 0.0000
0.0000 4.0829 0.0000
-2.3572 0.0000 6.8039
Tb P Se Br
4 1 2 1
Direct
0.2372 0.0000 0.2188 Tb
0.2583 0.5000 0.7842 Tb
0.7417 0.5000 0.2158 Tb
0.7628 0.0000 0.7812 Tb
0.0000 0.5000 0.0000 P
0.5000 0.0000 0.0000 Se
0.5000 0.5000 0.5000 Se
0.0000 0.0000 0.5000 Br
```



(4)
## TcPSeBr2 (PBE)

Data for a relaxed structure of TcPSeBr2.

Properties
Uncorrected formation energy in eV/atom: 0.88
Crystal system: tetragonal
Energy relative to the lowest polymorph listed for this composition in meV/atom: 173
Density of states at the Fermi level in states/eV per atom: 0.53
Space-group type: P4/mmm, No. 123
Raw total energy in eV/cell: -18.23

POSCAR file:
```
TcPSeBr2
1.0
4.9767 0.0000 0.0000
0.0000 4.9767 0.0000
0.0000 0.0000 5.1323
Tc P Se Br
1 1 1 2
Direct
0.0000 0.0000 0.0000 Tc
0.5000 0.5000 0.5000 P
0.5000 0.5000 0.0000 Se
0.0000 0.5000 0.5000 Br
0.5000 0.0000 0.5000 Br
```



(5)
## TcPSeBr2 (PBE)

Data for a relaxed structure of TcPSeBr2.

Properties
Uncorrected formation energy in eV/atom: 0.70
Crystal system: tetragonal
Energy relative to the lowest polymorph listed for this composition in meV/atom: 0
Density of states at the Fermi level in states/eV per atom: 0.71
Space-group type: P4/mmm, No. 123
Raw total energy in eV/cell: -19.09

POSCAR file:
```
TcPSeBr2
1.0
5.2181 0.0000 0.0000
0.0000 5.2181 0.0000
0.0000 0.0000 4.7556
Tc P Se Br
1 1 1 2
Direct
0.0000 0.0000 0.0000 Tc
0.5000 0.5000 0.5000 P
0.0000 0.0000 0.5000 Se
0.0000 0.5000 0.0000 Br
0.5000 0.0000 0.0000 Br
```



(6)
## TiPSeBr2 (PBE)

Data for a relaxed structure of TiPSeBr2.

Properties
Uncorrected formation energy in eV/atom: 0.01
Crystal system: tetragonal
Energy relative to the lowest polymorph listed for this composition in meV/atom: 0
Density of states at the Fermi level in states/eV per atom: 0.49
Space-group type: P4/mmm, No. 123
Raw total energy in eV/cell: -20.10

POSCAR file:
```
TiPSeBr2
1.0
5.1377 0.0000 0.0000
0.0000 5.1377 0.0000
0.0000 0.0000 5.0199
Ti P Se Br
1 1 1 2
Direct
0.0000 0.0000 0.0000 Ti
0.5000 0.5000 0.5000 P
0.0000 0.0000 0.5000 Se
0.0000 0.5000 0.0000 Br
0.5000 0.0000 0.0000 Br
```



> The highest uncorrected formation energy belongs to which entry?

number 4



> density of states at the Fermi level of number 2 (Tb6P2Se3Br)?

0.37 states/eV per atom